[1]
## Sc2BePb (PBE)

Data for an optimized crystal structure of Sc2BePb.

The energy above the most stable polymorph in this dataset is 9.5 meV per atom.

abc: 4.077 3.972 5.630
angles: 90.00 111.20 90.00
Positions (direct):
Sc 0.000 0.000 0.000
Sc 0.293 0.500 0.586
Be 0.736 0.000 0.470
Pb 0.580 0.500 0.160

***

[2]
## Sc2BePb (PBE)

Data for an optimized crystal structure of Sc2BePb.

The energy above the most stable polymorph in this dataset is 251.2 meV per atom.

abc: 3.404 4.291 6.024
angles: 90.00 90.00 90.00
Positions (direct):
Sc 0.000 0.000 0.000
Sc 0.500 0.500 0.281
Be 0.000 0.000 0.438
Pb 0.500 0.500 0.760

***

[3]
## ScBePb (PBE)

Data for an optimized crystal structure of ScBePb.

The energy above the most stable polymorph in this dataset is 206.1 meV per atom.

abc: 6.208 6.000 3.335
angles: 77.62 70.74 31.65
Positions (direct):
Sc 0.000 0.000 0.000
Be 0.356 0.356 0.644
Pb 0.709 0.709 0.291

***

[4]
## ScBe2Pb (PBE)

Data for an optimized crystal structure of ScBe2Pb.

abc: 7.804 7.804 7.804
angles: 25.73 25.73 25.73
Positions (direct):
Sc 0.000 0.000 0.000
Be 0.249 0.249 0.249
Be 0.751 0.751 0.751
Pb 0.500 0.500 0.500

***

[5]
## Sc2BePb (PBE)

Data for an optimized crystal structure of Sc2BePb.

The energy above the most stable polymorph in this dataset is 128.4 meV per atom.

abc: 8.689 8.689 8.689
angles: 22.91 22.91 22.91
Positions (direct):
Sc 0.233 0.233 0.233
Sc 0.767 0.767 0.767
Be 0.500 0.500 0.500
Pb 0.000 0.000 0.000

***

[6]
## ScBe2Pb (PBE)

Data for an optimized crystal structure of ScBe2Pb.

abc: 4.133 4.133 3.858
angles: 90.00 90.00 90.00
Positions (direct):
Sc 0.000 0.000 0.000
Be 0.000 0.500 0.500
Be 0.500 0.000 0.500
Pb 0.500 0.500 0.000

***

[7]
## Sc2BePb (PBE)

Data for an optimized crystal structure of Sc2BePb.

The energy above the most stable polymorph in this dataset is 0.0 meV per atom.

abc: 3.239 3.239 7.806
angles: 90.00 90.00 90.00
Positions (direct):
Sc 0.000 0.000 0.200
Sc 0.000 0.000 0.800
Be 0.500 0.500 0.000
Pb 0.500 0.500 0.500

***

[8]
## ScBePb2 (PBE)

Data for an optimized crystal structure of ScBePb2.

abc: 3.695 3.695 6.933
angles: 90.00 90.00 104.69
Positions (direct):
Sc 0.000 0.000 0.000
Be 0.000 0.000 0.500
Pb 0.500 0.500 0.275
Pb 0.500 0.500 0.725

***

[9]
## ScBePb2 (PBE)

Data for an optimized crystal structure of ScBePb2.

abc: 4.942 4.942 5.280
angles: 107.65 107.65 48.91
Positions (direct):
Sc 0.000 0.000 0.000
Be 0.500 0.500 0.500
Pb 0.237 0.237 0.716
Pb 0.763 0.763 0.284

***

[10]
## Sc2BePb (PBE)

Data for an optimized crystal structure of Sc2BePb.

The energy above the most stable polymorph in this dataset is 160.3 meV per atom.

abc: 4.624 4.624 6.150
angles: 101.60 101.60 43.22
Positions (direct):
Sc 0.238 0.238 0.209
Sc 0.762 0.762 0.791
Be 0.500 0.500 0.000
Pb 0.000 0.000 0.500

***

[11]
## ScBePb (PBE)

Data for an optimized crystal structure of ScBePb.

The energy above the most stable polymorph in this dataset is 214.8 meV per atom.

abc: 6.114 6.114 6.114
angles: 148.82 148.82 44.67
Positions (direct):
Sc 0.000 0.000 0.000
Be 0.636 0.636 0.000
Pb 0.287 0.287 0.000

***

[12]
## ScBePb (PBE)

Data for an optimized crystal structure of ScBePb.

The energy above the most stable polymorph in this dataset is 0.0 meV per atom.

abc: 4.169 4.169 3.939
angles: 90.00 90.00 120.00
Positions (direct):
Sc 0.000 0.000 0.000
Be 0.333 0.667 0.458
Pb 0.667 0.333 0.508

***

[13]
## Sc2BePb (PBE)

Data for an optimized crystal structure of Sc2BePb.

The energy above the most stable polymorph in this dataset is 518.6 meV per atom.

abc: 4.919 4.919 4.919
angles: 60.00 60.00 60.00
Positions (direct):
Sc 0.000 0.000 0.000
Sc 0.250 0.250 0.250
Be 0.500 0.500 0.500
Pb 0.750 0.750 0.750

***

[14]
## Sc2BePb (PBE)

Data for an optimized crystal structure of Sc2BePb.

The energy above the most stable polymorph in this dataset is 357.1 meV per atom.

abc: 9.857 9.857 9.857
angles: 19.64 19.64 19.64
Positions (direct):
Sc 0.105 0.105 0.105
Sc 0.895 0.895 0.895
Be 0.500 0.500 0.500
Pb 0.000 0.000 0.000

***

[15]
## ScBePb2 (PBE)

Data for an optimized crystal structure of ScBePb2.

abc: 6.280 6.280 6.280
angles: 103.55 103.55 122.11
Positions (direct):
Sc 0.000 0.000 0.000
Sc 0.750 0.250 0.500
Be 0.250 0.750 0.500
Be 0.500 0.500 0.000
Pb 0.183 0.125 0.558
Pb 0.375 0.817 0.942
Pb 0.567 0.625 0.442
Pb 0.875 0.433 0.058

***

[16]
## Sc2BePb (PBE)

Data for an optimized crystal structure of Sc2BePb.

The energy above the most stable polymorph in this dataset is 42.9 meV per atom.

abc: 4.399 4.399 4.170
angles: 90.00 90.00 90.00
Positions (direct):
Sc 0.000 0.500 0.000
Sc 0.500 0.000 0.000
Be 0.000 0.000 0.500
Pb 0.500 0.500 0.500

***

[17]
## Sc2BePb (PBE)

Data for an optimized crystal structure of Sc2BePb.

The energy above the most stable polymorph in this dataset is 96.8 meV per atom.

abc: 5.129 5.129 3.252
angles: 90.00 90.00 106.82
Positions (direct):
Sc 0.000 0.500 0.000
Sc 0.500 0.000 0.000
Be 0.000 0.000 0.500
Pb 0.500 0.500 0.500

***

[18]
## ScBe2Pb (PBE)

Data for an optimized crystal structure of ScBe2Pb.

abc: 3.494 3.494 5.943
angles: 90.00 90.00 90.00
Positions (direct):
Sc 0.000 0.000 0.000
Be 0.500 0.500 0.192
Be 0.500 0.500 0.808
Pb 0.000 0.000 0.500

***

[19]
## Sc3BePb (PBE)

Data for an optimized crystal structure of Sc3BePb.

The energy above the most stable polymorph in this dataset is 0.0 meV per atom.

abc: 4.833 4.833 4.833
angles: 90.00 90.00 90.00
Positions (direct):
Sc 0.000 0.000 0.500
Sc 0.000 0.500 0.000
Sc 0.500 0.000 0.000
Be 0.000 0.000 0.000
Pb 0.500 0.500 0.500

***

[20]
## ScBePb2 (PBE)

Data for an optimized crystal structure of ScBePb2.

abc: 3.360 3.360 8.397
angles: 90.00 90.00 90.00
Positions (direct):
Sc 0.000 0.000 0.000
Be 0.500 0.500 0.175
Pb 0.000 0.000 0.388
Pb 0.500 0.500 0.733

***

In eV/atom, the energy of formation from the pure elements values for the records above are, in order, -0.13 0.12 0.16 0.63 -0.01 0.16 -0.13 0.23 0.24 0.03 0.17 -0.04 0.38 0.22 0.19 -0.09 -0.04 0.34 -0.09 0.15.